#one
4
Lattice="3.281 0.000 0.000 0.000 3.281 0.000 0.000 0.000 6.499" Properties=species:S:1:pos:R:3 comment="PBE HoZrBe2, optimized geometry" spacegroup="P4/mmm (123)" pbc="T T T"
Be 0.000 0.000 5.079
Be 0.000 0.000 1.421
Zr 1.641 1.641 0.000
Ho 1.641 1.641 3.250

***

#two
4
Lattice="4.621 0.000 0.000 2.311 4.002 0.000 2.311 1.334 3.773" Properties=species:S:1:pos:R:3 comment="PBE HoZrBe2, optimized geometry" spacegroup="Fm-3m (225)" pbc="T T T"
Zr 4.621 2.668 1.887
Be 2.311 1.334 0.943
Be 6.932 4.002 2.830
Ho 0.000 0.000 0.000

***

Most stable structure - #one; separation to the second - 60 meV/atom.

***

#one
4
Lattice="3.869 0.000 0.000 -1.934 3.351 0.000 -1.303 -1.383 9.200" Properties=species:S:1:pos:R:3 comment="PBE BeI, optimized geometry" spacegroup="P1 (1)" pbc="T T T"
Be 2.252 1.451 2.540
Be -1.617 1.445 4.613
I 0.317 0.331 1.296
I 0.317 0.329 5.856

***

#two
16
Lattice="-3.085 6.375 -6.525 6.427 -3.368 -6.330 -3.536 -3.487 -1.735" Properties=species:S:1:pos:R:3 comment="PBE BeI, optimized geometry" spacegroup="P4/m (83)" pbc="T T T"
I -1.390 3.945 -5.097
I 1.520 -2.484 -6.080
I -1.714 2.004 -8.510
I -1.642 0.043 -4.715
I 1.594 3.407 -10.098
I 1.748 -0.401 -2.757
I 1.448 -0.524 -9.875
I 4.732 -0.939 -7.758
Be 3.659 0.886 -9.239
Be 2.562 -2.356 -8.462
Be -2.756 1.876 -6.128
Be -0.021 -1.902 -4.110
Be 3.331 -1.042 -4.695
Be 0.011 4.049 -8.160
Be -0.173 1.421 -10.480
Be -0.317 2.120 -3.616

***

#three
12
Lattice="7.276 0.000 0.000 0.000 7.276 0.000 0.000 0.000 7.276" Properties=species:S:1:pos:R:3 comment="PBE BeI, optimized geometry" spacegroup="Pm-3n (223)" pbc="T T T"
I 1.819 3.638 0.000
I 3.638 0.000 5.457
I 0.000 1.819 3.638
I 3.638 0.000 1.819
I 5.457 3.638 0.000
I 0.000 5.457 3.638
Be 1.819 0.000 3.638
Be 0.000 3.638 5.457
Be 5.457 0.000 3.638
Be 3.638 1.819 0.000
Be 0.000 3.638 1.819
Be 3.638 5.457 0.000

***

Most stable structure - #one; separation to the second - 601 meV/atom.